[1]
KTcAgCl6 after structural relaxation. Source: the Alexandria database, functional GGA-PBE.

Summary:
Volume: 30.0 Å³/atom
Electronic total energy: -33.9 eV per formula unit
M_tot: 0.32 μB per atom
Theoretical density: 2.82 g/cm³

a b c (Å): 6.8940 6.8940 13.1060
angles (deg): 90.00 90.00 120.00
With the nearest neighbours (Å) after each atom.
Space group P-31c (No. 163)
One atom of each set of equivalent atoms:
K 0.0000 0.0000 0.0000 [2 per cell]  6 Cl 3.20
Tc 0.3333 0.6667 0.2500 [2 per cell]  6 Cl 2.38
Ag 0.3333 0.6667 0.7500 [2 per cell]  6 Cl 2.78
Cl 0.0440 0.3936 0.1452 [12 per cell]  1 Tc 2.38

[2]
K2TcAgCl6 after structural relaxation. Source: the Alexandria database, functional GGA-PBE.

Summary:
Volume: 27.9 Å³/atom
Electronic total energy: -37.4 eV per formula unit
M_tot: 0.20 μB per atom
Theoretical density: 2.96 g/cm³

a b c (Å): 7.0835 7.0835 38.4974
angles (deg): 90.00 90.00 120.00
With the nearest neighbours (Å) after each atom.
Space group R-3m (No. 166, hexagonal axes)
One atom of each set of equivalent atoms:
K 0.0000 0.0000 0.1336 [6 per cell]  9 Cl 3.41-3.55
K 0.0000 0.0000 0.3033 [6 per cell]  9 Cl 3.33-3.55
Tc 0.0000 0.0000 0.0000 [3 per cell]  6 Cl 2.42
Tc 0.0000 0.0000 0.5000 [3 per cell]  6 Cl 2.43
Ag 0.0000 0.0000 0.4135 [6 per cell]  6 Cl 2.71-2.75
Cl 0.0115 0.5058 0.1301 [18 per cell]  1 Tc 2.43
Cl 0.0124 0.5062 0.7032 [18 per cell]  1 Tc 2.42, 1 Ag 2.71

[3]
KTcAg2Cl8 after structural relaxation. Source: the Alexandria database, functional GGA-PBE.

Summary:
Volume: 28.9 Å³/atom
Electronic total energy: -41.1 eV per formula unit
M_tot: 0.16 μB per atom
Theoretical density: 3.05 g/cm³

a b c (Å): 6.5465 6.7950 8.4896
angles (deg): 93.15 92.63 112.96
With the nearest neighbours (Å) after each atom.
Space group P-1 (No. 2)
One atom of each set of equivalent atoms:
K 0.0000 0.0000 0.0000 [1 per cell]  6 Cl 3.08-3.13
Tc 0.0000 0.0000 0.5000 [1 per cell]  6 Cl 2.36-2.39
Ag 0.0157 0.5280 0.2246 [2 per cell]  3 Cl 2.47-2.69
Cl 0.2113 0.2479 0.3250 [2 per cell]  1 Tc 2.37
Cl 0.2137 0.7883 0.4626 [2 per cell]  1 Tc 2.39, 1 Ag 2.54
Cl 0.2542 0.2108 0.7098 [2 per cell]  1 Tc 2.36
Cl 0.2591 0.7078 0.9852 [2 per cell]  2 Ag 2.47-2.69

[4]
KAg2TeCl8 after structural relaxation. Source: the Alexandria database, functional GGA-PBE.

Summary:
Volume: 30.4 Å³/atom
Electronic total energy: -33.3 eV per formula unit
M_tot: 0.00 μB per atom
Theoretical density: 3.03 g/cm³

a b c (Å): 6.5348 6.5616 8.9369
angles (deg): 104.59 99.31 91.71
With the nearest neighbours (Å) after each atom.
Space group P-1 (No. 2)
One atom of each set of equivalent atoms:
K 0.0000 0.0000 0.0000 [1 per cell]  6 Cl 3.19-3.53
Ag 0.3752 0.4789 0.7948 [2 per cell]  4 Cl 2.46-2.71
Te 0.0000 0.0000 0.5000 [1 per cell]  6 Cl 2.56-2.58
Cl 0.0803 0.7365 0.2565 [2 per cell]  1 Te 2.56
Cl 0.1798 0.7766 0.6751 [2 per cell]  1 Te 2.58, 1 Ag 2.71
Cl 0.3401 0.2263 0.5258 [2 per cell]  1 Ag 2.52, 1 Te 2.58
Cl 0.4848 0.2300 0.9744 [2 per cell]  2 Ag 2.46-2.60

[5]
K2AgTeCl6 after structural relaxation. Source: the Alexandria database, functional GGA-PBE.

Summary:
Volume: 32.4 Å³/atom
Electronic total energy: -29.6 eV per formula unit
M_tot: 0.10 μB per atom
Theoretical density: 2.70 g/cm³

a b c (Å): 7.3937 11.0774 7.9132
angles (deg): 90.00 90.00 90.00
With the nearest neighbours (Å) after each atom.
Space group Pmmn (No. 59, origin choice 2)
One atom of each set of equivalent atoms:
K 0.2500 0.0098 0.1873 [4 per cell]  1 Cl 3.18
Ag 0.2500 0.7500 0.7831 [2 per cell]  2 Cl 2.47
Te 0.2500 0.2500 0.7091 [2 per cell]  4 Cl 2.54-2.61
Cl 0.0029 0.2500 0.9445 [4 per cell]  1 Te 2.61, 1 Ag 2.85
Cl 0.0119 0.2500 0.4778 [4 per cell]  1 Te 2.54, 1 Ag 2.83
Cl 0.2500 0.5269 0.7889 [4 per cell]  1 Ag 2.47

[6]
KThAgCl6 after structural relaxation. Source: the Alexandria database, functional GGA-PBE.

Summary:
Volume: 33.8 Å³/atom
Electronic total energy: -38.3 eV per formula unit
M_tot: 0.00 μB per atom
Theoretical density: 3.23 g/cm³

a b c (Å): 7.0536 7.0536 14.1143
angles (deg): 90.00 90.00 120.00
With the nearest neighbours (Å) after each atom.
Space group P-31c (No. 163)
One atom of each set of equivalent atoms:
K 0.0000 0.0000 0.0000 [2 per cell]  6 Cl 3.20
Th 0.3333 0.6667 0.2500 [2 per cell]  6 Cl 2.70
Ag 0.3333 0.6667 0.7500 [2 per cell]  6 Cl 2.81
Cl 0.0116 0.3651 0.1389 [12 per cell]  1 Th 2.70, 1 Ag 2.81

[7]
KThAg2Cl8 after structural relaxation. Source: the Alexandria database, functional GGA-PBE.

Summary:
Volume: 32.2 Å³/atom
Electronic total energy: -45.4 eV per formula unit
M_tot: 0.00 μB per atom
Theoretical density: 3.31 g/cm³

a b c (Å): 6.5495 6.8195 9.0647
angles (deg): 98.29 104.73 91.54
With the nearest neighbours (Å) after each atom.
Space group P-1 (No. 2)
One atom of each set of equivalent atoms:
K 0.0000 0.0000 0.0000 [1 per cell]  4 Cl 3.16-3.21
Th 0.0000 0.0000 0.5000 [1 per cell]  6 Cl 2.68-2.74
Ag 0.4777 0.4057 0.8082 [2 per cell]  3 Cl 2.44-2.57
Cl 0.2167 0.4735 0.9760 [2 per cell]  2 Ag 2.44-2.57
Cl 0.2320 0.3530 0.5440 [2 per cell]  1 Ag 2.49, 1 Th 2.74
Cl 0.2391 0.8505 0.3151 [2 per cell]  1 Th 2.69, 1 Ag 2.90
Cl 0.2656 0.9071 0.7544 [2 per cell]  1 Th 2.68

[8]
K2TiAgCl6 after structural relaxation. Source: the Alexandria database, functional GGA-PBE.

Summary:
Volume: 26.6 Å³/atom
Electronic total energy: -39.1 eV per formula unit
M_tot: 0.10 μB per atom
Theoretical density: 2.79 g/cm³

a b c (Å): 7.1359 7.1404 7.1410
angles (deg): 61.55 61.55 61.59
With the nearest neighbours (Å) after each atom.
Space group P1 (No. 1)
One atom of each set of equivalent atoms:
K 0.0000 0.0000 0.0000 [1 per cell]  6 Cl 3.16-3.52
K 0.4967 0.4954 0.4965 [1 per cell]  6 Cl 3.16-3.53
Ti 0.2480 0.2474 0.2479 [1 per cell]  6 Cl 2.44
Ag 0.7481 0.7475 0.7480 [1 per cell]  6 Cl 2.76
Cl 0.0208 0.4139 0.5500 [1 per cell]  1 Ti 2.44
Cl 0.0823 0.9443 0.4740 [1 per cell]  1 Ti 2.44
Cl 0.4137 0.5503 0.0214 [1 per cell]  1 Ti 2.44
Cl 0.4748 0.0809 0.9457 [1 per cell]  1 Ti 2.44
Cl 0.5501 0.0223 0.4144 [1 per cell]  1 Ti 2.44
Cl 0.9457 0.4722 0.0815 [1 per cell]  1 Ti 2.44

[9]
KTiAg2Cl8 after structural relaxation. Source: the Alexandria database, functional GGA-PBE.

Summary:
Volume: 29.2 Å³/atom
Electronic total energy: -42.6 eV per formula unit
M_tot: 0.00 μB per atom
Theoretical density: 2.78 g/cm³

a b c (Å): 6.5554 6.8153 8.4951
angles (deg): 93.67 110.79 96.13
With the nearest neighbours (Å) after each atom.
Space group P-1 (No. 2)
One atom of each set of equivalent atoms:
K 0.0000 0.0000 0.0000 [1 per cell]  4 Cl 3.13-3.18
Ti 0.0000 0.0000 0.5000 [1 per cell]  6 Cl 2.32-2.42
Ag 0.4304 0.4147 0.7904 [2 per cell]  3 Cl 2.41-2.57
Cl 0.1859 0.3247 0.4939 [2 per cell]  1 Ti 2.42, 1 Ag 2.45
Cl 0.2023 0.8578 0.3598 [2 per cell]  1 Ti 2.32
Cl 0.2165 0.4899 0.9841 [2 per cell]  2 Ag 2.41-2.57
Cl 0.2770 0.9633 0.7617 [2 per cell]  1 Ti 2.37

[10]
KTlAgCl6 after structural relaxation. Source: the Alexandria database, functional GGA-PBE.

Summary:
Volume: 31.5 Å³/atom
Electronic total energy: -25.1 eV per formula unit
M_tot: 0.12 μB per atom
Theoretical density: 3.31 g/cm³

a b c (Å): 7.2654 11.3162 6.9149
angles (deg): 90.00 95.05 90.00
With the nearest neighbours (Å) after each atom.
Space group C2 (No. 5)
One atom of each set of equivalent atoms:
K 0.0000 0.0000 0.0000 [2 per cell]  6 Cl 3.19-3.23
Tl 0.0000 0.6665 0.5000 [2 per cell]  6 Cl 2.52-2.75
Ag 0.0000 0.3199 0.5000 [2 per cell]  4 Cl 2.50
Cl 0.1224 0.4821 0.7196 [4 per cell]  1 Ag 2.50, 1 Tl 2.69
Cl 0.1731 0.7995 0.7465 [4 per cell]  1 Tl 2.52
Cl 0.1859 0.1682 0.6939 [4 per cell]  1 Ag 2.50, 1 Tl 2.75

[11]
K2TlAg3Cl6 after structural relaxation. Source: the Alexandria database, functional GGA-PBE.

Summary:
Volume: 26.6 Å³/atom
Electronic total energy: -36.3 eV per formula unit
M_tot: 0.00 μB per atom
Theoretical density: 4.26 g/cm³

a b c (Å): 18.3995 4.2307 8.3946
angles (deg): 90.00 102.16 90.00
With the nearest neighbours (Å) after each atom.
Space group C2/m (No. 12)
One atom of each set of equivalent atoms:
K 0.1653 0.0000 0.3310 [4 per cell]  6 Cl 3.12-3.14
Tl 0.0000 0.5000 0.0000 [2 per cell]  6 Cl 3.16-3.18
Ag 0.0000 0.5000 0.5000 [2 per cell]  6 Cl 2.80-2.91
Ag 0.1694 0.0000 0.8288 [4 per cell]  6 Cl 2.80-2.90
Cl 0.0089 0.0000 0.7225 [4 per cell]  3 Ag 2.80-2.90
Cl 0.1610 0.5000 0.6024 [4 per cell]  3 Ag 2.83-2.91, 3 K 3.12-3.13
Cl 0.1756 0.5000 0.0628 [4 per cell]  3 Ag 2.80-2.87, 2 K 3.12

[12]
K3Tl2AgCl6 after structural relaxation. Source: the Alexandria database, functional GGA-PBE.

Summary:
Volume: 31.8 Å³/atom
Electronic total energy: -38.4 eV per formula unit
M_tot: 0.00 μB per atom
Theoretical density: 3.69 g/cm³

a b c (Å): 7.7956 13.5781 7.6047
angles (deg): 90.00 108.64 90.00
With the nearest neighbours (Å) after each atom.
Space group C2/m (No. 12)
One atom of each set of equivalent atoms:
K 0.0000 0.0000 0.0000 [2 per cell]  4 Cl 3.10
K 0.0000 0.3343 0.0000 [4 per cell]  6 Cl 3.09-3.19
Tl 0.0000 0.1733 0.5000 [4 per cell]  6 Cl 3.17-3.33
Ag 0.0000 0.5000 0.5000 [2 per cell]  2 Cl 2.57
Cl 0.2019 0.5000 0.2903 [4 per cell]  1 Ag 2.57
Cl 0.2445 0.1636 0.2378 [8 per cell]  3 K 3.09-3.17, 2 Tl 3.17-3.21, 1 Ag 3.22